The following is a DFT calculation (PBE) of NpSbPd4 after structural relaxation.

CIF file:
```
data_NpSbPd4
_chemical_formula_sum 'Np2 Sb2 Pd8'
_space_group_name_H-M_alt 'P 1 21/m 1'
_space_group_IT_number 11
_space_group_name_Hall '-P 2yb'
_cell_length_a 4.2072
_cell_length_b 8.2478
_cell_length_c 6.6531
_cell_angle_alpha 90.00
_cell_angle_beta 108.25
_cell_angle_gamma 90.00
loop_
_atom_site_label
_atom_site_fract_x
_atom_site_fract_y
_atom_site_fract_z
Np1 0.1612 0.2500 0.3229
Sb1 0.1496 0.7500 0.2991
Pd1 0.0000 0.0000 0.0000
Pd2 0.3372 0.5012 0.6730
Pd3 0.4962 0.2500 0.9940
```

Properties
energy above the lowest structure with this stoichiometry = 0 meV/atom
spin magnetization = 3.670 μB/f.u.
density = 11.882 g cm⁻³
formation energy (no corrections) = -361.0 meV/atom

The following is a DFT calculation (PBE) of Np3Sb4Pd2 after structural relaxation.

CIF file:
```
data_Np3Sb4Pd2
_chemical_formula_sum 'Np6 Sb8 Pd4'
_space_group_name_H-M_alt 'C 1 2/m 1'
_space_group_IT_number 12
_space_group_name_Hall '-C 2y'
_cell_length_a 11.7012
_cell_length_b 4.6393
_cell_length_c 9.0248
_cell_angle_alpha 90.00
_cell_angle_beta 116.65
_cell_angle_gamma 90.00
loop_
_atom_site_label
_atom_site_fract_x
_atom_site_fract_y
_atom_site_fract_z
Np1 0.0000 0.0000 0.0000
Np2 0.1359 0.5000 0.6878
Sb1 0.0716 0.0000 0.3830
Sb2 0.1955 0.5000 0.0801
Pd1 0.1832 0.5000 0.3725
```

Properties
spin magnetization = 12.491 μB/f.u.
density = 10.701 g cm⁻³
formation energy (no corrections) = -302.9 meV/atom

The following is a DFT calculation (PBE) of Np4SbPd15 after structural relaxation.

CIF file:
```
data_Np4SbPd15
_chemical_formula_sum 'Np4 Sb1 Pd15'
_space_group_name_H-M_alt 'P 4/m m m'
_space_group_IT_number 123
_space_group_name_Hall '-P 4 2'
_cell_length_a 4.1389
_cell_length_b 4.1389
_cell_length_c 20.5333
_cell_angle_alpha 90.00
_cell_angle_beta 90.00
_cell_angle_gamma 90.00
loop_
_atom_site_label
_atom_site_fract_x
_atom_site_fract_y
_atom_site_fract_z
Np1 0.0000 0.0000 0.1011
Np2 0.0000 0.0000 0.3033
Sb1 0.0000 0.0000 0.5000
Pd1 0.0000 0.5000 0.0000
Pd2 0.0000 0.5000 0.2023
Pd3 0.0000 0.5000 0.4031
Pd4 0.5000 0.5000 0.1010
Pd5 0.5000 0.5000 0.3037
Pd6 0.5000 0.5000 0.5000
```

Properties
spin magnetization = 13.860 μB/f.u.
density = 12.586 g cm⁻³
formation energy (no corrections) = -422.2 meV/atom

The following is a DFT calculation (PBE) of Np2Sb3Pd4 after structural relaxation.

CIF file:
```
data_Np2Sb3Pd4
_chemical_formula_sum 'Np8 Sb12 Pd16'
_space_group_name_H-M_alt 'C m c e'
_space_group_IT_number 64
_space_group_name_Hall '-C 2ac 2'
_cell_length_a 6.4113
_cell_length_b 15.5992
_cell_length_c 7.6159
_cell_angle_alpha 90.00
_cell_angle_beta 90.00
_cell_angle_gamma 90.00
loop_
_atom_site_label
_atom_site_fract_x
_atom_site_fract_y
_atom_site_fract_z
Np1 0.0000 0.0928 0.0943
Sb1 0.0000 0.0000 0.5000
Sb2 0.2500 0.2463 0.7500
Pd1 0.0000 0.1735 0.4953
Pd2 0.2500 0.0693 0.7500
```

Properties
spin magnetization = 9.030 μB/f.u.
density = 11.031 g cm⁻³
formation energy (no corrections) = -362.9 meV/atom

The following is a DFT calculation (PBE) of Np2Sb4Pd after structural relaxation.

CIF file:
```
data_Np2Sb4Pd
_chemical_formula_sum 'Np2 Sb4 Pd1'
_space_group_name_H-M_alt 'P -4 m 2'
_space_group_IT_number 115
_space_group_name_Hall 'P -4 -2'
_cell_length_a 4.3955
_cell_length_b 4.3955
_cell_length_c 9.2693
_cell_angle_alpha 90.00
_cell_angle_beta 90.00
_cell_angle_gamma 90.00
loop_
_atom_site_label
_atom_site_fract_x
_atom_site_fract_y
_atom_site_fract_z
Np1 0.0000 0.5000 0.2366
Sb1 0.0000 0.0000 0.5000
Sb2 0.0000 0.5000 0.8351
Sb3 0.5000 0.5000 0.5000
Pd1 0.5000 0.5000 0.0000
```

Properties
spin magnetization = 7.116 μB/f.u.
density = 9.898 g cm⁻³
formation energy (no corrections) = -330.7 meV/atom

The following is a DFT calculation (PBE) of NpSbPd after structural relaxation.

CIF file:
```
data_NpSbPd
_chemical_formula_sum 'Np2 Sb2 Pd2'
_space_group_name_H-M_alt 'I 4 m m'
_space_group_IT_number 107
_space_group_name_Hall 'I 4 -2'
_cell_length_a 3.5822
_cell_length_b 3.5822
_cell_length_c 10.4394
_cell_angle_alpha 90.00
_cell_angle_beta 90.00
_cell_angle_gamma 90.00
loop_
_atom_site_label
_atom_site_fract_x
_atom_site_fract_y
_atom_site_fract_z
Np1 0.0000 0.0000 0.0000
Sb1 0.0000 0.0000 0.6920
Pd1 0.0000 0.0000 0.3481
```

Properties
spin magnetization = 3.903 μB/f.u.
density = 11.533 g cm⁻³
formation energy (no corrections) = -142.8 meV/atom